Entry 1:
VASP calculation (PBE-GGA) on a relaxed structure of Pa4Se3O2.

Cell: 6.1609 7.9457 7.9457 Å, 76.05 92.52 92.52°
With the nearest neighbours (Å) after each atom.
Positions (direct):
Pa 0.4737 0.9459 0.2864  2 O 2.31-2.32
Pa 0.0263 0.7136 0.0541  2 O 2.31-2.32
Pa 0.5263 0.0541 0.7136  2 O 2.31-2.32
Pa 0.9737 0.2864 0.9459  2 O 2.31-2.32
Pa 0.0642 0.2620 0.4240  2 O 2.27-2.42
Pa 0.4358 0.5760 0.7380  2 O 2.27-2.42
Pa 0.9358 0.7380 0.5760  2 O 2.27-2.42
Pa 0.5642 0.4240 0.2620  2 O 2.27-2.42
Se 0.9722 0.9883 0.2420  6 Pa 2.91-3.12
Se 0.5278 0.7580 0.0117  6 Pa 2.91-3.12
Se 0.0278 0.0117 0.7580  6 Pa 2.91-3.12
Se 0.4722 0.2420 0.9883  6 Pa 2.91-3.12
Se 0.2500 0.6064 0.3936  6 Pa 2.85-2.93
Se 0.7500 0.3936 0.6064  6 Pa 2.85-2.93
O 0.4023 0.1569 0.4291  4 Pa 2.27-2.42
O 0.0977 0.5709 0.8431  4 Pa 2.27-2.42
O 0.5977 0.8431 0.5709  4 Pa 2.27-2.42
O 0.9023 0.4291 0.1569  4 Pa 2.27-2.42

Computed properties:
- density of states at the Fermi level (states/eV/cell) = 30.48
- E_tot (eV/cell) = -149.897
- raw formation energy (eV/atom) = -1.844
- crystal system = monoclinic

Entry 2:
VASP calculation (PBE-GGA) on a relaxed structure of PaSeO6.

Cell: 5.1628 5.1628 9.4389 Å, 90.00 90.00 120.00°
With the nearest neighbours (Å) after each atom.
Positions (direct):
Pa 0.3333 0.6667 0.2500  6 O 2.17
Pa 0.6667 0.3333 0.7500  6 O 2.17
Se 0.0000 0.0000 0.5000  6 O 1.81
Se 0.0000 0.0000 0.0000  6 O 1.81
O 0.2633 0.3036 0.3894  1 Se 1.81
O 0.7367 0.6964 0.6106  1 Se 1.81
O 0.0403 0.7367 0.3894  1 Se 1.81
O 0.2633 0.9597 0.1106  1 Se 1.81
O 0.9597 0.2633 0.6106  1 Se 1.81
O 0.7367 0.0403 0.8894  1 Se 1.81
O 0.6964 0.9597 0.3894  1 Se 1.81
O 0.0403 0.3036 0.1106  1 Se 1.81
O 0.3036 0.0403 0.6106  1 Se 1.81
O 0.9597 0.6964 0.8894  1 Se 1.81
O 0.6964 0.7367 0.1106  1 Se 1.81
O 0.3036 0.2633 0.8894  1 Se 1.81

Computed properties:
- density of states at the Fermi level (states/eV/cell) = 10.42
- E_tot (eV/cell) = -110.608
- raw formation energy (eV/atom) = -1.572
- crystal system = trigonal

Entry 3:
VASP calculation (PBE-GGA) on a relaxed structure of Pa2SeO3.

Cell: 3.7614 7.4581 8.4668 Å, 116.30 90.00 104.61°
With the nearest neighbours (Å) after each atom.
Positions (direct):
Pa 0.4929 0.9857 0.7805  4 O 2.22-2.33
Pa 0.5071 0.0143 0.2195  4 O 2.22-2.33
Pa 0.8124 0.6248 0.3679  6 O 2.31-2.41
Pa 0.1876 0.3752 0.6321  6 O 2.31-2.41
Se 0.8675 0.7350 0.9140  6 Pa 3.09-3.21, 4 O 3.13-3.39, 1 Se 3.41
Se 0.1325 0.2650 0.0860  6 Pa 3.09-3.21, 4 O 3.13-3.39, 1 Se 3.41
O 0.3221 0.6442 0.5521  4 Pa 2.33-2.41
O 0.9669 0.9339 0.6273  3 Pa 2.22-2.31
O 0.6241 0.2481 0.7125  3 Pa 2.22-2.33
O 0.3759 0.7519 0.2875  3 Pa 2.22-2.33
O 0.0331 0.0661 0.3727  3 Pa 2.22-2.31
O 0.6779 0.3558 0.4479  4 Pa 2.33-2.41

Computed properties:
- density of states at the Fermi level (states/eV/cell) = 13.01
- E_tot (eV/cell) = -110.017
- raw formation energy (eV/atom) = -2.943
- crystal system = monoclinic

Entry 4:
VASP calculation (PBE-GGA) on a relaxed structure of Pa2SeO8.

Cell: 5.2657 5.3049 6.4288 Å, 111.28 108.54 94.99°
With the nearest neighbours (Å) after each atom.
Positions (direct):
Pa 0.6450 0.3568 0.7208  3 O 2.07-2.14
Pa 0.4095 0.6372 0.2430  3 O 2.08-2.14
Se 0.9023 0.1339 0.1827  4 O 1.72-1.81
O 0.3769 0.9673 0.5336  2 Pa 2.08-2.11
O 0.4189 0.5945 0.9107  2 Pa 2.08-2.14
O 0.7064 0.5836 0.5318  2 Pa 2.07-2.14
O 0.9733 0.8139 0.0563  1 Se 1.73
O 0.0177 0.2674 0.9781  1 Se 1.93
O 0.1865 0.3753 0.4122  1 Se 1.72
O 0.6017 0.2310 0.0573  1 Se 1.75
O 0.7618 0.0391 0.3737  1 Se 1.81

Computed properties:
- density of states at the Fermi level (states/eV/cell) = 0.00
- E_tot (eV/cell) = -87.998
- raw formation energy (eV/atom) = -2.351
- crystal system = triclinic

Entry 5:
VASP calculation (PBE-GGA) on a relaxed structure of PaSeO6.

Cell: 4.4469 4.4469 4.4346 Å, 98.75 98.75 99.02°
With the nearest neighbours (Å) after each atom.
Positions (direct):
Pa 0.0000 0.0000 0.0000  12 O 2.47-2.52
Se 0.5000 0.5000 0.5000  6 O 1.80
O 0.2021 0.2021 0.5594  1 Se 1.80
O 0.5562 0.2017 0.2022  1 Se 1.80
O 0.7979 0.7979 0.4406  1 Se 1.80
O 0.7983 0.4438 0.7978  1 Se 1.80
O 0.4438 0.7983 0.7978  1 Se 1.80
O 0.2017 0.5562 0.2022  1 Se 1.80

Computed properties:
- density of states at the Fermi level (states/eV/cell) = 2.58
- E_tot (eV/cell) = -54.488
- raw formation energy (eV/atom) = -1.470
- crystal system = monoclinic

Entry 6:
VASP calculation (PBE-GGA) on a relaxed structure of Pa3Se3O2.

Cell: 3.7952 6.4990 13.6220 Å, 90.00 90.00 106.98°
With the nearest neighbours (Å) after each atom.
Positions (direct):
Pa 0.6327 0.2655 0.4551  3 O 2.30-2.35
Pa 0.3673 0.7345 0.9551  3 O 2.30-2.35
Pa 0.6327 0.2655 0.0449  3 O 2.30-2.35
Pa 0.3673 0.7345 0.5449  3 O 2.30-2.35
Pa 0.3223 0.6447 0.2500  2 O 2.58
Pa 0.6777 0.3553 0.7500  2 O 2.58
Se 0.9487 0.8974 0.3866  6 Pa 3.05-3.12, 2 O 3.27, 1 Se 3.34
Se 0.0513 0.1026 0.8866  6 Pa 3.05-3.12, 2 O 3.27, 1 Se 3.34
Se 0.9487 0.8974 0.1134  6 Pa 3.05-3.12, 2 O 3.27, 1 Se 3.34
Se 0.0513 0.1026 0.6134  6 Pa 3.05-3.12, 2 O 3.27, 1 Se 3.34
Se 0.6432 0.2864 0.2500  4 Pa 2.80-2.93
Se 0.3568 0.7136 0.7500  4 Pa 2.80-2.93
O 0.7613 0.5226 0.9233  3 Pa 2.30-2.35
O 0.2387 0.4774 0.4233  3 Pa 2.30-2.35
O 0.7613 0.5226 0.5767  3 Pa 2.30-2.35
O 0.2387 0.4774 0.0767  3 Pa 2.30-2.35

Computed properties:
- density of states at the Fermi level (states/eV/cell) = 20.86
- E_tot (eV/cell) = -131.668
- raw formation energy (eV/atom) = -2.122
- crystal system = orthorhombic

Entry 7:
VASP calculation (PBE-GGA) on a relaxed structure of PaSe2O5.

Cell: 4.2386 7.4520 12.3271 Å, 89.96 90.06 124.67°
With the nearest neighbours (Å) after each atom.
Positions (direct):
Pa 0.8810 0.7501 0.7500  6 O 2.11-2.24
Pa 0.1190 0.2499 0.2500  6 O 2.11-2.24
Se 0.8896 0.7500 0.3800  2 O 1.76
Se 0.8888 0.7500 0.1199  2 O 1.76
Se 0.1104 0.2500 0.6200  2 O 1.76
Se 0.1111 0.2500 0.8801  2 O 1.76
O 0.1461 0.0266 0.8684  1 Se 1.76
O 0.1455 0.0266 0.6317  1 Se 1.76
O 0.4078 0.5265 0.3683  1 Se 1.76
O 0.4071 0.5264 0.1316  1 Se 1.76
O 0.6175 0.2498 0.2500  2 Pa 2.11-2.13
O 0.3825 0.7502 0.7500  2 Pa 2.11-2.13
O 0.5922 0.4735 0.6317  1 Se 1.76
O 0.5929 0.4735 0.8684  1 Se 1.76
O 0.8538 0.9733 0.1316  1 Se 1.76
O 0.8546 0.9734 0.3683  1 Se 1.76

Computed properties:
- density of states at the Fermi level (states/eV/cell) = 5.82
- E_tot (eV/cell) = -110.650
- raw formation energy (eV/atom) = -1.759
- crystal system = monoclinic

Entry 8:
VASP calculation (PBE-GGA) on a relaxed structure of PaSeO5.

Cell: 5.9750 5.6661 8.0629 Å, 108.66 105.66 87.25°
With the nearest neighbours (Å) after each atom.
Positions (direct):
Pa 0.0026 0.0108 0.9928  1 O 1.89
Pa 0.9831 0.4812 0.5005  4 O 2.02-2.25
Se 0.5648 0.3866 0.7628  3 O 1.73-1.75
Se 0.3713 0.6301 0.2385  4 O 1.66-1.69
O 0.9478 0.2114 0.2574  2 Pa 2.03-2.18
O 0.0586 0.7872 0.7243  2 Pa 2.02-2.24
O 0.6533 0.6333 0.3417  1 Se 1.66
O 0.3474 0.8606 0.1484  1 Se 1.67
O 0.2796 0.3553 0.0744  1 Se 1.69
O 0.2251 0.6850 0.3964  1 Se 1.67
O 0.8727 0.7147 0.9961  1 Pa 1.89
O 0.7247 0.3414 0.6030  1 Se 1.75
O 0.6664 0.1396 0.8410  1 Se 1.73
O 0.2896 0.2803 0.6137  1 Se 1.75

Computed properties:
- density of states at the Fermi level (states/eV/cell) = 0.00
- E_tot (eV/cell) = -104.297
- raw formation energy (eV/atom) = -2.054
- crystal system = triclinic